1.
# MgIN2F | Alexandria | PBE-GGA | relaxed
# total magnetization = 0.87 μB per atom
# uncorrected formation energy = 1.65 eV per atom
# DOS(E_F) = 1.52 states/eV/cell
data_MgIN2F
_chemical_formula_sum 'Mg1 I1 N2 F1'
_cell_length_a 4.691
_cell_length_b 4.691
_cell_length_c 4.320
_cell_angle_alpha 90.00
_cell_angle_beta 90.00
_cell_angle_gamma 90.00
_space_group_name_H-M_alt 'P 4/m m m'
_space_group_IT_number 123
_space_group_name_Hall '-P 4 2'
loop_
_atom_site_label
_atom_site_type_symbol
_atom_site_fract_x
_atom_site_fract_y
_atom_site_fract_z
Mg1 Mg 0.000 0.000 0.000
I1 I 0.500 0.500 0.000
N1 N 0.000 0.500 0.500
F1 F 0.500 0.500 0.500

---

2.
# Zr4GaSn2 | Alexandria | PBE-GGA | relaxed
# total magnetization = 0.00 μB per atom
# ΔE_f = 33 meV/atom
# DOS(E_F) = 15.23 states/eV/cell
data_Zr4GaSn2
_chemical_formula_sum 'Zr8 Ga2 Sn4'
_cell_length_a 4.844
_cell_length_b 4.844
_cell_length_c 15.317
_cell_angle_alpha 90.00
_cell_angle_beta 90.00
_cell_angle_gamma 90.00
_space_group_name_H-M_alt 'I 4/m m m'
_space_group_IT_number 139
_space_group_name_Hall '-I 4 2'
loop_
_atom_site_label
_atom_site_type_symbol
_atom_site_fract_x
_atom_site_fract_y
_atom_site_fract_z
Zr1 Zr 0.000 0.000 0.170
Zr2 Zr 0.000 0.500 0.000
Ga1 Ga 0.000 0.000 0.000
Sn1 Sn 0.000 0.000 0.363